[1]
First-principles (meta-GGA SCAN) data for V2SnO7 at its PBEsol-relaxed geometry, as listed in Alexandria via LeMat-Bulk.

Results
E_form (uncorrected) = -2.2793 eV per atom

abc: 8.805 8.805 8.805
angles: 90.00 90.00 90.00
Space group Pa-3 (No. 205)
One atom of each set of equivalent atoms:
1 V 0.115 0.115 0.115 x8
2 Sn 0.000 0.000 0.500 x4
3 O 0.000 0.000 0.000 x4
4 O 0.061 0.202 0.594 x24

[2]
First-principles (meta-GGA SCAN) data for SnW3O at its PBEsol-relaxed geometry, as listed in Alexandria via LeMat-Bulk.

Results
E_form (uncorrected) = 0.3891 eV per atom

abc: 4.169 4.169 4.169
angles: 90.00 90.00 90.00
Space group Pm-3m (No. 221)
One atom of each set of equivalent atoms:
1 Sn 0.000 0.000 0.000 x1
2 W 0.000 0.500 0.500 x3
3 O 0.500 0.500 0.500 x1

[3]
First-principles (meta-GGA SCAN) data for SnWO4 at its PBEsol-relaxed geometry, as listed in Alexandria via LeMat-Bulk.

Results
E_form (uncorrected) = -1.9608 eV per atom

abc: 5.580 11.752 4.976
angles: 90.00 90.00 90.00
Space group Pnna (No. 52)
One atom of each set of equivalent atoms:
1 Sn 0.250 0.000 0.221 x4
2 W 0.146 0.250 0.750 x4
3 O 0.093 0.104 0.902 x8
4 O 0.137 0.703 0.002 x8

- Among the records above, which one has the highest E_form (uncorrected)?
  SnW3O

- The lowest E_form (uncorrected) belongs to which entry?
  V2SnO7

- Which value of E_form (uncorrected) does entry 2 give?
  0.3891 eV per atom